TbBePt: optimized geometry, PBE.

Geometry as POSCAR:
```
TbBePt
1.0
-1.644 -2.356 3.058
4.387 -5.689 -2.025
4.771 2.171 4.238
Pt Be Tb
4 4 4
direct
0.750 0.920 0.191 Pt
0.250 0.420 0.309 Pt
0.750 0.580 0.691 Pt
0.250 0.080 0.809 Pt
0.250 0.419 0.675 Be
0.750 0.919 0.825 Be
0.750 0.581 0.325 Be
0.250 0.081 0.175 Be
0.250 0.805 0.499 Tb
0.250 0.695 0.999 Tb
0.750 0.305 0.001 Tb
0.750 0.195 0.501 Tb
```

As for the relative energy among the computed polymorphs: 1.1 kJ per mole of atoms. The calculation puts the formation energy from the elements at -0.843 eV/atom. The calculated density comes out at 11.422 g/cm³. The electronic total energy comes out at -67.71 eV/cell.